# 1
# PBE-GGA Dy8HgGe5, relaxed
# DFT total energy: -5.055 eV per atom
# magnetization: 0.0 μB per formula unit
# symmetry: I-4, No. 82
data_Dy8HgGe5
_chemical_formula_sum 'Dy8 Hg1 Ge5'
_space_group_name_H-M_alt 'P 1'
_space_group_IT_number 1
_cell_length_a 7.700
_cell_length_b 7.700
_cell_length_c 7.700
_cell_angle_alpha 109.46
_cell_angle_beta 109.48
_cell_angle_gamma 109.46
loop_
_space_group_symop_operation_xyz
'x,y,z'
loop_
_atom_site_label
_atom_site_fract_x
_atom_site_fract_y
_atom_site_fract_z
Ge1 0.750 0.621 0.628
Ge2 0.007 0.379 0.129
Ge3 0.871 0.878 0.250
Ge4 0.500 0.000 0.500
Ge5 0.372 0.122 0.993
Dy1 0.633 0.892 0.875
Dy2 0.495 0.618 0.252
Dy3 0.748 0.243 0.366
Dy4 0.634 0.382 0.877
Dy5 0.125 0.759 0.018
Dy6 0.123 0.757 0.505
Dy7 0.982 0.108 0.741
Dy8 0.259 0.241 0.367
Hg1 0.250 0.500 0.750


# 2
# PBE-GGA DyHg2Ge, relaxed
# DFT total energy: -2.214 eV per atom
# magnetization: 0.0 μB per formula unit
# symmetry: R-3m, No. 166
data_DyHg2Ge
_chemical_formula_sum 'Dy1 Hg2 Ge1'
_space_group_name_H-M_alt 'P 1'
_space_group_IT_number 1
_cell_length_a 3.339
_cell_length_b 3.339
_cell_length_c 11.038
_cell_angle_alpha 81.30
_cell_angle_beta 81.30
_cell_angle_gamma 60.00
loop_
_space_group_symop_operation_xyz
'x,y,z'
loop_
_atom_site_label
_atom_site_fract_x
_atom_site_fract_y
_atom_site_fract_z
Hg1 0.907 0.907 0.280
Hg2 0.093 0.093 0.720
Dy1 0.000 0.000 0.000
Ge1 0.500 0.500 0.500


# 3
# PBE-GGA Dy12Hg5Ge3, relaxed
# DFT total energy: -3.581 eV per atom
# magnetization: 0.0 μB per formula unit
# symmetry: Ia-3d, No. 230
data_Dy12Hg5Ge3
_chemical_formula_sum 'Dy48 Hg20 Ge12'
_space_group_name_H-M_alt 'P 1'
_space_group_IT_number 1
_cell_length_a 14.940
_cell_length_b 14.940
_cell_length_c 14.940
_cell_angle_alpha 109.47
_cell_angle_beta 109.47
_cell_angle_gamma 109.47
loop_
_space_group_symop_operation_xyz
'x,y,z'
loop_
_atom_site_label
_atom_site_fract_x
_atom_site_fract_y
_atom_site_fract_z
Hg1 0.875 0.625 0.750
Hg2 0.500 0.000 0.000
Hg3 0.000 0.500 0.000
Hg4 0.125 0.750 0.375
Hg5 0.500 0.500 0.500
Hg6 0.125 0.375 0.250
Hg7 0.875 0.250 0.625
Hg8 0.375 0.250 0.125
Hg9 0.500 0.000 0.500
Hg10 0.375 0.125 0.750
Hg11 0.500 0.500 0.000
Hg12 0.625 0.750 0.875
Hg13 0.000 0.500 0.500
Hg14 0.625 0.875 0.250
Hg15 0.750 0.125 0.875
Hg16 0.750 0.625 0.375
Hg17 0.250 0.375 0.625
Hg18 0.250 0.875 0.125
Hg19 0.000 0.000 0.500
Hg20 0.000 0.000 0.000
Ge1 0.750 0.375 0.125
Ge2 0.875 0.750 0.125
Ge3 0.125 0.875 0.750
Ge4 0.375 0.750 0.625
Ge5 0.125 0.250 0.875
Ge6 0.625 0.250 0.375
Ge7 0.625 0.375 0.750
Ge8 0.250 0.125 0.375
Ge9 0.375 0.625 0.250
Ge10 0.875 0.125 0.250
Ge11 0.750 0.875 0.625
Ge12 0.250 0.625 0.875
Dy1 0.068 0.903 0.132
Dy2 0.368 0.937 0.772
Dy3 0.835 0.903 0.272
Dy4 0.937 0.368 0.272
Dy5 0.772 0.335 0.903
Dy6 0.728 0.597 0.165
Dy7 0.132 0.403 0.068
Dy8 0.597 0.868 0.432
Dy9 0.097 0.932 0.368
Dy10 0.165 0.097 0.728
Dy11 0.772 0.437 0.368
Dy12 0.932 0.097 0.868
Dy13 0.165 0.068 0.937
Dy14 0.437 0.772 0.868
Dy15 0.868 0.597 0.932
Dy16 0.932 0.835 0.563
Dy17 0.903 0.068 0.632
Dy18 0.063 0.632 0.728
Dy19 0.632 0.063 0.228
Dy20 0.937 0.568 0.165
Dy21 0.335 0.772 0.403
Dy22 0.063 0.432 0.835
Dy23 0.632 0.568 0.903
Dy24 0.568 0.632 0.403
Dy25 0.272 0.868 0.937
Dy26 0.228 0.563 0.632
Dy27 0.563 0.335 0.932
Dy28 0.403 0.132 0.568
Dy29 0.272 0.403 0.835
Dy30 0.868 0.272 0.437
Dy31 0.437 0.665 0.068
Dy32 0.665 0.437 0.568
Dy33 0.403 0.272 0.335
Dy34 0.563 0.228 0.132
Dy35 0.568 0.937 0.665
Dy36 0.597 0.728 0.665
Dy37 0.097 0.165 0.228
Dy38 0.432 0.063 0.335
Dy39 0.728 0.132 0.063
Dy40 0.835 0.932 0.063
Dy41 0.665 0.228 0.597
Dy42 0.228 0.665 0.097
Dy43 0.132 0.728 0.563
Dy44 0.335 0.563 0.432
Dy45 0.068 0.165 0.437
Dy46 0.368 0.432 0.097
Dy47 0.903 0.835 0.772
Dy48 0.432 0.368 0.597


# 4
# PBE-GGA Dy4HgGe2, relaxed
# DFT total energy: -4.638 eV per atom
# magnetization: 0.0 μB per formula unit
# symmetry: Fdd2, No. 43
data_Dy4HgGe2
_chemical_formula_sum 'Dy8 Hg2 Ge4'
_space_group_name_H-M_alt 'P 1'
_space_group_IT_number 1
_cell_length_a 8.064
_cell_length_b 8.063
_cell_length_c 7.472
_cell_angle_alpha 109.49
_cell_angle_beta 109.50
_cell_angle_gamma 112.42
loop_
_space_group_symop_operation_xyz
'x,y,z'
loop_
_atom_site_label
_atom_site_fract_x
_atom_site_fract_y
_atom_site_fract_z
Dy1 0.855 0.615 0.101
Dy2 0.387 0.501 0.257
Dy3 0.004 0.265 0.399
Dy4 0.514 0.754 0.899
Dy5 0.865 0.605 0.601
Dy6 0.244 0.130 0.743
Dy7 0.752 0.137 0.757
Dy8 0.380 0.994 0.243
Ge1 0.628 0.237 0.113
Ge2 0.487 0.378 0.613
Ge3 0.765 0.874 0.387
Ge4 0.124 0.515 0.887
Hg1 0.247 0.746 0.500
Hg2 0.997 0.997 0.000


# 5
# PBE-GGA DyHgGe2, relaxed
# DFT total energy: -3.373 eV per atom
# magnetization: 0.0 μB per formula unit
# symmetry: R-3m, No. 166
data_DyHgGe2
_chemical_formula_sum 'Dy1 Hg1 Ge2'
_space_group_name_H-M_alt 'P 1'
_space_group_IT_number 1
_cell_length_a 4.817
_cell_length_b 4.817
_cell_length_c 7.483
_cell_angle_alpha 71.23
_cell_angle_beta 71.23
_cell_angle_gamma 60.00
loop_
_space_group_symop_operation_xyz
'x,y,z'
loop_
_atom_site_label
_atom_site_fract_x
_atom_site_fract_y
_atom_site_fract_z
Hg1 0.000 0.000 0.000
Dy1 0.500 0.500 0.500
Ge1 0.873 0.873 0.380
Ge2 0.127 0.127 0.620


# 6
# PBE-GGA Dy4Hg5Ge2, relaxed
# DFT total energy: -3.132 eV per atom
# magnetization: 0.0 μB per formula unit
# symmetry: P2/m, No. 10
data_Dy4Hg5Ge2
_chemical_formula_sum 'Dy4 Hg5 Ge2'
_space_group_name_H-M_alt 'P 1'
_space_group_IT_number 1
_cell_length_a 3.830
_cell_length_b 7.724
_cell_length_c 9.185
_cell_angle_alpha 95.67
_cell_angle_beta 90.00
_cell_angle_gamma 90.00
loop_
_space_group_symop_operation_xyz
'x,y,z'
loop_
_atom_site_label
_atom_site_fract_x
_atom_site_fract_y
_atom_site_fract_z
Dy1 0.500 0.810 0.143
Dy2 0.500 0.190 0.857
Dy3 0.500 0.237 0.426
Dy4 0.500 0.763 0.574
Hg1 0.000 0.539 0.329
Hg2 0.000 0.154 0.133
Hg3 0.000 0.500 0.000
Hg4 0.000 0.846 0.867
Hg5 0.000 0.461 0.671
Ge1 0.000 0.072 0.627
Ge2 0.000 0.928 0.373


no.,ΔE_f (meV per atom)
1,-754.1
2,242.0
3,-51.5
4,-645.6
5,162.1
6,-481.7